(1)
## ZrTl2H (PBE-GGA)

Data for ZrTl2H after structural relaxation. Values from VASP.

```
&SYSTEM
  ibrav = 0, nat = 4, ntyp = 3
/
ATOMIC_SPECIES
Zr 91.22 Zr.upf
H 1.01 H.upf
Tl 204.38 Tl.upf
ATOMIC_POSITIONS crystal
Zr 0.500 0.500 0.500
H 0.000 0.000 0.000
Tl 0.250 0.250 0.250
Tl 0.750 0.750 0.750
CELL_PARAMETERS angstrom
0.000 3.512 3.512
3.512 0.000 3.512
3.512 3.512 0.000
```

## Properties
As for the symmetry: Fm-3m (225). Its mass density is 9.60 g/cm3. As for the density of states at the Fermi level: 4.40 states/eV per cell. For the final energy, the calculation gives -3.420 eV/atom.

---

(2)
## Zr4Tl3H (PBE-GGA)

Data for Zr4Tl3H after structural relaxation. Values from VASP.

```
&SYSTEM
  ibrav = 0, nat = 16, ntyp = 3
/
ATOMIC_SPECIES
Zr 91.22 Zr.upf
Tl 204.38 Tl.upf
H 1.01 H.upf
ATOMIC_POSITIONS crystal
Zr 0.064 0.891 0.500
Tl 0.564 0.632 0.000
Zr 0.064 0.118 0.746
Zr 0.564 0.882 0.246
H 0.065 0.099 0.000
Zr 0.064 0.877 0.000
Zr 0.064 0.118 0.254
Tl 0.564 0.373 0.788
Zr 0.564 0.882 0.754
Tl 0.064 0.627 0.712
Zr 0.564 0.123 0.500
Tl 0.064 0.627 0.288
Tl 0.064 0.368 0.500
H 0.565 0.901 0.500
Zr 0.564 0.109 0.000
Tl 0.564 0.373 0.212
CELL_PARAMETERS angstrom
-3.763 -0.936 -2.114
-3.097 -5.069 7.758
-3.578 7.113 3.220
```

## Properties
As for the symmetry: Pmmn (59). Its mass density is 8.77 g/cm3. As for the density of states at the Fermi level: 9.24 states/eV per cell. For the final energy, the calculation gives -5.588 eV/atom.

---

(3)
## Zr4Tl2H (PBE-GGA)

Data for Zr4Tl2H after structural relaxation. Values from VASP.

```
&SYSTEM
  ibrav = 0, nat = 14, ntyp = 3
/
ATOMIC_SPECIES
Zr 91.22 Zr.upf
Tl 204.38 Tl.upf
H 1.01 H.upf
ATOMIC_POSITIONS crystal
Zr 0.846 0.250 0.642
Zr 0.154 0.750 0.358
Tl 0.177 0.250 0.410
Zr 0.099 0.750 0.936
Zr 0.421 0.993 0.720
Tl 0.311 0.250 0.961
H 0.700 0.250 0.810
H 0.300 0.750 0.190
Zr 0.421 0.507 0.720
Tl 0.823 0.750 0.590
Zr 0.579 0.007 0.280
Zr 0.901 0.250 0.064
Zr 0.579 0.493 0.280
Tl 0.689 0.750 0.039
CELL_PARAMETERS angstrom
5.453 0.000 -0.785
0.000 6.089 0.000
-2.942 0.000 8.963
```

## Properties
As for the symmetry: P2_1/m (11). Its mass density is 9.07 g/cm3. As for the density of states at the Fermi level: 13.39 states/eV per cell. For the final energy, the calculation gives -6.181 eV/atom.

---

(4)
## Zr3TlH2 (PBE-GGA)

Data for Zr3TlH2 after structural relaxation. Values from VASP.

```
&SYSTEM
  ibrav = 0, nat = 12, ntyp = 3
/
ATOMIC_SPECIES
Zr 91.22 Zr.upf
H 1.01 H.upf
Tl 204.38 Tl.upf
ATOMIC_POSITIONS crystal
Zr 0.750 0.613 0.877
H 0.750 0.029 0.325
Zr 0.250 0.189 0.387
Zr 0.250 0.063 0.869
Tl 0.250 0.684 0.361
H 0.250 0.971 0.675
Zr 0.750 0.937 0.131
Tl 0.750 0.316 0.639
H 0.750 0.589 0.074
Zr 0.250 0.387 0.123
Zr 0.750 0.811 0.613
H 0.250 0.411 0.926
CELL_PARAMETERS angstrom
3.230 0.000 0.000
0.000 6.067 0.542
0.000 -1.771 10.319
```

## Properties
As for the symmetry: P2_1/m (11). Its mass density is 7.77 g/cm3. As for the density of states at the Fermi level: 7.51 states/eV per cell. For the final energy, the calculation gives -5.948 eV/atom.

---

(5)
## TmH2 (PBE-GGA)

Data for TmH2 after structural relaxation. Values from VASP.

```
&SYSTEM
  ibrav = 0, nat = 3, ntyp = 2
/
ATOMIC_SPECIES
H 1.01 H.upf
Tm 168.93 Tm.upf
ATOMIC_POSITIONS crystal
H 0.500 0.750 0.250
Tm 0.000 0.000 0.000
H 0.500 0.250 0.750
CELL_PARAMETERS angstrom
3.571 -0.143 -0.220
-1.651 3.170 0.220
-1.651 -1.075 2.990
```

## Properties
As for the symmetry: I4/mmm (139). Its mass density is 8.74 g/cm3. As for the density of states at the Fermi level: 0.65 states/eV per cell. For the final energy, the calculation gives -4.439 eV/atom.

---

(6)
## TmH (PBE-GGA)

Data for TmH after structural relaxation. Values from VASP.

```
&SYSTEM
  ibrav = 0, nat = 4, ntyp = 2
/
ATOMIC_SPECIES
H 1.01 H.upf
Tm 168.93 Tm.upf
ATOMIC_POSITIONS crystal
H 0.750 0.750 0.839
H 0.250 0.250 0.161
Tm 0.750 0.750 0.241
Tm 0.250 0.250 0.759
CELL_PARAMETERS angstrom
3.285 0.000 0.000
0.000 3.270 0.310
0.000 -0.521 5.485
```

## Properties
As for the symmetry: P4/nmm (129). Its mass density is 9.49 g/cm3. As for the density of states at the Fermi level: 2.23 states/eV per cell. For the final energy, the calculation gives -4.262 eV/atom.

---

(7)
## TmH3 (PBE-GGA)

Data for TmH3 after structural relaxation. Values from VASP.

```
&SYSTEM
  ibrav = 0, nat = 24, ntyp = 2
/
ATOMIC_SPECIES
H 1.01 H.upf
Tm 168.93 Tm.upf
ATOMIC_POSITIONS crystal
H 0.970 0.649 0.092
H 0.970 0.322 0.592
H 0.000 0.000 0.250
H 0.322 0.970 0.908
H 0.322 0.351 0.408
H 0.678 0.649 0.592
Tm 0.000 0.337 0.250
Tm 0.337 0.337 0.750
H 0.351 0.030 0.592
H 0.030 0.351 0.908
Tm 0.337 0.000 0.250
Tm 0.663 0.663 0.250
H 0.649 0.678 0.908
H 0.678 0.030 0.092
H 0.667 0.333 0.317
H 0.333 0.667 0.683
Tm 0.663 0.000 0.750
H 0.030 0.678 0.408
H 0.667 0.333 0.817
Tm 0.000 0.663 0.750
H 0.351 0.322 0.092
H 0.333 0.667 0.183
H 0.649 0.970 0.408
H 0.000 0.000 0.750
CELL_PARAMETERS angstrom
-1.552 -0.815 5.913
0.971 -4.887 -3.635
6.216 0.020 1.635
```

## Properties
As for the symmetry: P-3c1 (165). Its mass density is 8.09 g/cm3. For the final energy, the calculation gives -4.263 eV/atom.

---

(8)
## Tm8H (PBE-GGA)

Data for Tm8H after structural relaxation. Values from VASP.

```
&SYSTEM
  ibrav = 0, nat = 9, ntyp = 2
/
ATOMIC_SPECIES
Tm 168.93 Tm.upf
H 1.01 H.upf
ATOMIC_POSITIONS crystal
Tm 0.667 0.833 0.493
Tm 0.000 0.500 0.007
Tm 0.664 0.332 0.502
Tm 0.002 0.001 0.998
H 0.333 0.167 0.250
Tm 0.499 0.498 0.998
Tm 0.499 0.001 0.998
Tm 0.168 0.836 0.502
Tm 0.168 0.332 0.502
CELL_PARAMETERS angstrom
7.120 0.000 0.000
-3.560 6.166 0.000
0.000 0.000 5.521
```

## Properties
As for the symmetry: P-3m1 (164). Its mass density is 9.26 g/cm3. As for the density of states at the Fermi level: 14.50 states/eV per cell. For the final energy, the calculation gives -4.428 eV/atom.

---

(9)
## TmH3 (PBE-GGA)

Data for TmH3 after structural relaxation. Values from VASP.

```
&SYSTEM
  ibrav = 0, nat = 4, ntyp = 2
/
ATOMIC_SPECIES
H 1.01 H.upf
Tm 168.93 Tm.upf
ATOMIC_POSITIONS crystal
H 0.500 0.500 0.083
H 0.000 0.500 0.584
Tm 0.000 0.000 0.083
H 0.500 0.000 0.583
CELL_PARAMETERS angstrom
-1.347 -0.307 2.919
2.920 0.185 1.367
-0.297 3.209 0.200
```

## Properties
As for the symmetry: Pm-3m (221). Its mass density is 8.48 g/cm3. As for the density of states at the Fermi level: 0.06 states/eV per cell. For the final energy, the calculation gives -4.052 eV/atom.

---

(10)
## TmH4 (PBE-GGA)

Data for TmH4 after structural relaxation. Values from VASP.

```
&SYSTEM
  ibrav = 0, nat = 5, ntyp = 2
/
ATOMIC_SPECIES
H 1.01 H.upf
Tm 168.93 Tm.upf
ATOMIC_POSITIONS crystal
H 0.500 0.000 0.500
H 0.000 0.000 0.000
H 0.000 0.500 0.500
Tm 0.500 0.500 0.500
H 0.500 0.500 0.000
CELL_PARAMETERS angstrom
-0.558 -3.759 1.591
-1.217 -1.379 -3.686
3.896 -0.969 -0.924
```

## Properties
As for the symmetry: Pm-3m (221). Its mass density is 4.11 g/cm3. For the final energy, the calculation gives -3.333 eV/atom.

---

(11)
## Tm3H (PBE-GGA)

Data for Tm3H after structural relaxation. Values from VASP.

```
&SYSTEM
  ibrav = 0, nat = 4, ntyp = 2
/
ATOMIC_SPECIES
Tm 168.93 Tm.upf
H 1.01 H.upf
ATOMIC_POSITIONS crystal
Tm 0.500 0.362 0.000
Tm 0.679 0.060 0.359
H 0.000 0.043 0.000
Tm 0.321 0.701 0.641
CELL_PARAMETERS angstrom
-0.610 0.661 3.171
-5.668 -0.423 -1.002
3.311 -4.815 -0.073
```

## Properties
As for the symmetry: Imm2 (44). Its mass density is 9.22 g/cm3. As for the density of states at the Fermi level: 5.46 states/eV per cell. For the final energy, the calculation gives -4.188 eV/atom.

---

(12)
## Tm3H2 (PBE-GGA)

Data for Tm3H2 after structural relaxation. Values from VASP.

```
&SYSTEM
  ibrav = 0, nat = 10, ntyp = 2
/
ATOMIC_SPECIES
Tm 168.93 Tm.upf
H 1.01 H.upf
ATOMIC_POSITIONS crystal
Tm 0.250 0.582 0.250
H 0.832 0.832 0.505
Tm 0.750 0.418 0.750
Tm 0.082 0.750 0.750
H 0.668 0.668 0.995
Tm 0.418 0.082 0.750
H 0.168 0.168 0.495
H 0.332 0.332 0.005
Tm 0.918 0.250 0.250
Tm 0.582 0.918 0.250
CELL_PARAMETERS angstrom
-3.362 4.027 3.274
-1.684 -1.366 5.791
2.845 3.160 4.875
```

## Properties
As for the symmetry: R-3c (167). Its mass density is 9.46 g/cm3. As for the density of states at the Fermi level: 7.82 states/eV per cell. For the final energy, the calculation gives -4.323 eV/atom.